This record from Alexandria via LeMat-Bulk describes a relaxed TmInAgPd crystal. The functional is GGA-PBE.

Cell: 4.839 4.839 4.839 Å, 60.00 60.00 60.00°
Fractional coordinates of all 4 atoms:
1 Tm 0.000 0.000 0.000
2 Pd 0.750 0.750 0.750
3 Ag 0.250 0.250 0.250
4 In 0.500 0.500 0.500

* calculated volume: 20.0 Å³/atom
* calculated formation energy: -0.571 eV per atom
* total energy: -17.5 eV for the cell shown